Computed, not measured: a relaxed structure of Mn3O2F4 at the PBE+U level of DFT.

a = 4.779 Å, b = 4.691 Å, c = 10.738 Å
α = 90.00°, β = 115.32°, γ = 90.00°
Atoms (fractional coordinates):
Mn (0.000, 0.000, 0.000)
Mn (0.000, 0.500, 0.500)
Mn (0.360, 0.024, 0.326)
Mn (0.360, 0.476, 0.826)
Mn (0.640, 0.524, 0.174)
Mn (0.640, 0.976, 0.674)
O (0.358, 0.670, 0.666)
O (0.358, 0.830, 0.166)
O (0.642, 0.170, 0.834)
O (0.642, 0.330, 0.334)
F (0.052, 0.732, 0.337)
F (0.052, 0.768, 0.837)
F (0.303, 0.196, 0.489)
F (0.303, 0.304, 0.989)
F (0.697, 0.696, 0.011)
F (0.697, 0.804, 0.511)
F (0.948, 0.232, 0.163)
F (0.948, 0.268, 0.663)

Results
As for the symmetry: No. 14. The total magnetization is 13.0 μB/f.u. Its total energy is -119.183 eV for the cell shown.